No. 1
DyY12Ho7: optimized geometry, PBE.

abc: 8.6864 8.6864 8.6864
angles: 95.13 95.13 95.13
Closest atoms and distances in Å follow each position.
Fractional positions:
Dy  0.0000  0.0000  0.0000  6 Ho 3.08
Y  0.1494  0.4814  0.4179  2 Ho 3.05-3.07, 2 Y 3.10-3.37
Y  0.1833  0.3107  0.7508  3 Ho 3.34-3.55, 3 Y 3.37-3.57
Y  0.2492  0.8167  0.6893  3 Ho 3.34-3.55, 3 Y 3.37-3.57
Y  0.3107  0.7508  0.1833  3 Ho 3.34-3.55, 3 Y 3.37-3.57
Y  0.4179  0.1494  0.4814  2 Ho 3.05-3.07, 2 Y 3.10-3.37
Y  0.4814  0.4179  0.1494  2 Ho 3.05-3.07, 2 Y 3.10-3.37
Y  0.5186  0.5821  0.8506  2 Ho 3.05-3.07, 2 Y 3.10-3.37
Y  0.5821  0.8506  0.5186  2 Ho 3.05-3.07, 2 Y 3.10-3.37
Y  0.6893  0.2492  0.8167  3 Ho 3.34-3.55, 3 Y 3.37-3.57
Y  0.7508  0.1833  0.3107  3 Ho 3.34-3.55, 3 Y 3.37-3.57
Y  0.8167  0.6893  0.2492  3 Ho 3.34-3.55, 3 Y 3.37-3.57
Y  0.8506  0.5186  0.5821  2 Ho 3.05-3.07, 2 Y 3.10-3.37
Ho  0.0236  0.3533  0.0853  2 Y 3.07-3.34, 1 Dy 3.08, 1 Ho 3.10
Ho  0.0853  0.0236  0.3533  2 Y 3.07-3.34, 1 Dy 3.08, 1 Ho 3.10
Ho  0.3533  0.0853  0.0236  2 Y 3.07-3.34, 1 Dy 3.08, 1 Ho 3.10
Ho  0.5000  0.5000  0.5000  6 Y 3.05
Ho  0.6467  0.9147  0.9764  2 Y 3.07-3.34, 1 Dy 3.08, 1 Ho 3.10
Ho  0.9147  0.9764  0.6467  2 Y 3.07-3.34, 1 Dy 3.08, 1 Ho 3.10
Ho  0.9764  0.6467  0.9147  2 Y 3.07-3.34, 1 Dy 3.08, 1 Ho 3.10

Output
For the total energy, the calculation gives -5.425 eV/atom. For the energy of formation, the calculation gives 0.29 eV per atom. Its space group is R-3 (148). The value obtained for the energy relative to the lowest polymorph listed for this composition is 0.000 eV/atom. The density of states at the Fermi level is 19.111 states/eV/cell.

No. 2
Pm2ScZn: optimized geometry, PBE.

abc: 3.6208 3.6208 8.2531
angles: 90.00 90.00 90.00
Closest atoms and distances in Å follow each position.
Fractional positions:
Pm  0.0000  0.0000  0.2225  4 Zn 3.15, 4 Sc 3.44
Pm  0.0000  0.0000  0.7775  4 Zn 3.15, 4 Sc 3.44
Sc  0.5000  0.5000  0.5000  8 Pm 3.44, 4 Sc 3.62
Zn  0.5000  0.5000  0.0000  8 Pm 3.15

Output
For the total energy, the calculation gives -4.393 eV/atom. For the energy of formation, the calculation gives -0.12 eV per atom. Its space group is P4/mmm (123). The value obtained for the energy relative to the lowest polymorph listed for this composition is 0.000 eV/atom. The density of states at the Fermi level is 5.614 states/eV/cell.

No. 3
Pr12ThTl3: optimized geometry, PBE.

abc: 5.0530 5.0530 20.4322
angles: 90.00 90.00 90.00
Closest atoms and distances in Å follow each position.
Fractional positions:
Pr  0.0000  0.0000  0.0000  8 Pr 3.57, 4 Tl 3.57
Pr  0.0000  0.0000  0.2458  8 Pr 3.56-3.62, 4 Tl 3.57
Pr  0.0000  0.0000  0.5000  4 Th 3.57, 8 Pr 3.63
Pr  0.0000  0.0000  0.7542  8 Pr 3.56-3.62, 4 Tl 3.57
Pr  0.0000  0.5000  0.1234  4 Tl 3.55-3.57, 8 Pr 3.56-3.57
Pr  0.0000  0.5000  0.3727  8 Pr 3.57-3.63, 2 Th 3.63, 2 Tl 3.63
Pr  0.0000  0.5000  0.6273  8 Pr 3.57-3.63, 2 Th 3.63, 2 Tl 3.63
Pr  0.0000  0.5000  0.8766  4 Tl 3.55-3.57, 8 Pr 3.56-3.57
Pr  0.5000  0.0000  0.1234  4 Tl 3.55-3.57, 8 Pr 3.56-3.57
Pr  0.5000  0.0000  0.3727  8 Pr 3.57-3.63, 2 Th 3.63, 2 Tl 3.63
Pr  0.5000  0.0000  0.6273  8 Pr 3.57-3.63, 2 Th 3.63, 2 Tl 3.63
Pr  0.5000  0.0000  0.8766  4 Tl 3.55-3.57, 8 Pr 3.56-3.57
Th  0.5000  0.5000  0.5000  12 Pr 3.57-3.63
Tl  0.5000  0.5000  0.0000  12 Pr 3.57
Tl  0.5000  0.5000  0.2453  12 Pr 3.55-3.63
Tl  0.5000  0.5000  0.7547  12 Pr 3.55-3.63

Output
For the total energy, the calculation gives -4.630 eV/atom. For the energy of formation, the calculation gives -0.14 eV per atom. Its space group is P4/mmm (123). The density of states at the Fermi level is 24.179 states/eV/cell.